# 1
RbMn2BiCl8: relaxed, GGA-PBE. Values from VASP.

Quantum ESPRESSO input file:
```
&SYSTEM
  ibrav = 0, nat = 12, ntyp = 4
/
ATOMIC_SPECIES
Rb 85.47 Rb.upf
Mn 54.94 Mn.upf
Bi 208.98 Bi.upf
Cl 35.45 Cl.upf
CELL_PARAMETERS angstrom
6.604 0.000 0.000
1.612 6.428 0.000
2.102 1.715 8.812
ATOMIC_POSITIONS crystal
Rb 0.000 0.000 0.000
Mn 0.453 0.451 0.214
Mn 0.547 0.549 0.786
Bi 0.000 0.000 0.500
Cl 0.194 0.724 0.727
Cl 0.265 0.796 0.278
Cl 0.277 0.262 0.454
Cl 0.346 0.328 0.024
Cl 0.654 0.672 0.976
Cl 0.723 0.738 0.546
Cl 0.735 0.204 0.722
Cl 0.806 0.276 0.273
```

Summary:
Its total DFT energy (no corrections) is -52.1 eV/cell. The calculation puts the total moment at 0.83 μB per atom. As for the density of states at the Fermi level: 0.0 states/eV/cell. The mass density is 3.05 g cm⁻³. For the formation energy from raw total energies, the calculation gives -1.18 eV/atom.

# 2
LiSi2Hg: relaxed, GGA-PBE. Values from VASP.

Quantum ESPRESSO input file:
```
&SYSTEM
  ibrav = 0, nat = 4, ntyp = 3
/
ATOMIC_SPECIES
Li 6.94 Li.upf
Si 28.09 Si.upf
Hg 200.59 Hg.upf
CELL_PARAMETERS angstrom
2.715 0.000 0.000
0.000 2.715 0.000
0.000 0.000 9.956
ATOMIC_POSITIONS crystal
Li 0.000 0.000 0.000
Si 0.500 0.500 0.196
Si 0.500 0.500 0.804
Hg 0.000 0.000 0.500
```

Summary:
Its total DFT energy (no corrections) is -11.9 eV/cell. The calculation puts the total moment at 0.00 μB per atom. As for the density of states at the Fermi level: 1.8 states/eV/cell. The mass density is 5.97 g cm⁻³. For the formation energy from raw total energies, the calculation gives 0.30 eV/atom.

# 3
Ce3Zn5Rh2: relaxed, GGA-PBE. Values from VASP.

Quantum ESPRESSO input file:
```
&SYSTEM
  ibrav = 0, nat = 20, ntyp = 3
/
ATOMIC_SPECIES
Ce 140.12 Ce.upf
Zn 65.41 Zn.upf
Rh 102.91 Rh.upf
CELL_PARAMETERS angstrom
-5.747 5.810 2.996
5.747 -5.810 2.996
5.747 5.810 -2.996
ATOMIC_POSITIONS crystal
Ce 0.139 0.742 0.880
Ce 0.250 0.250 0.000
Ce 0.361 0.242 0.603
Ce 0.639 0.758 0.397
Ce 0.750 0.750 0.000
Ce 0.861 0.258 0.120
Zn 0.017 0.750 0.267
Zn 0.108 0.359 0.467
Zn 0.250 0.750 0.500
Zn 0.392 0.859 0.250
Zn 0.483 0.750 0.733
Zn 0.517 0.250 0.267
Zn 0.608 0.141 0.750
Zn 0.750 0.250 0.500
Zn 0.892 0.641 0.533
Zn 0.983 0.250 0.733
Rh 0.144 0.142 0.286
Rh 0.356 0.642 0.998
Rh 0.644 0.358 0.002
Rh 0.856 0.858 0.714
```

Summary:
Its total DFT energy (no corrections) is -85.7 eV/cell. The calculation puts the total moment at 0.20 μB per atom. As for the density of states at the Fermi level: 33.2 states/eV/cell. The mass density is 7.91 g cm⁻³. The energy of formation is -0.395 eV/atom.

# 4
Sr2Ag2Pd5Pb: relaxed, GGA-PBE. Values from VASP.

Quantum ESPRESSO input file:
```
&SYSTEM
  ibrav = 0, nat = 20, ntyp = 4
/
ATOMIC_SPECIES
Sr 87.62 Sr.upf
Ag 107.87 Ag.upf
Pd 106.42 Pd.upf
Pb 207.20 Pb.upf
CELL_PARAMETERS angstrom
10.100 0.000 0.000
0.000 10.100 0.000
0.000 0.000 4.090
ATOMIC_POSITIONS crystal
Sr 0.173 0.327 0.000
Sr 0.327 0.827 0.000
Sr 0.673 0.173 0.000
Sr 0.827 0.673 0.000
Ag 0.125 0.625 0.000
Ag 0.375 0.125 0.000
Ag 0.625 0.875 0.000
Ag 0.875 0.375 0.000
Pd 0.000 0.500 0.500
Pd 0.060 0.798 0.500
Pd 0.202 0.060 0.500
Pd 0.298 0.560 0.500
Pd 0.440 0.298 0.500
Pd 0.500 0.000 0.500
Pd 0.560 0.702 0.500
Pd 0.702 0.440 0.500
Pd 0.798 0.940 0.500
Pd 0.940 0.202 0.500
Pb 0.000 0.000 0.000
Pb 0.500 0.500 0.000
```

Summary:
Its total DFT energy (no corrections) is -85.2 eV/cell. The calculation puts the total moment at 0.00 μB per atom. As for the density of states at the Fermi level: 10.2 states/eV/cell. The mass density is 9.00 g cm⁻³. The energy of formation is -0.385 eV/atom.

# 5
RbAsPtO6: relaxed, GGA-PBE. Values from VASP.

Quantum ESPRESSO input file:
```
&SYSTEM
  ibrav = 0, nat = 9, ntyp = 4
/
ATOMIC_SPECIES
Rb 85.47 Rb.upf
As 74.92 As.upf
Pt 195.08 Pt.upf
O 16.00 O.upf
CELL_PARAMETERS angstrom
5.116 0.000 0.000
-2.558 4.430 0.000
0.000 0.000 6.483
ATOMIC_POSITIONS crystal
Rb 0.000 0.000 0.000
As 0.667 0.333 0.500
Pt 0.333 0.667 0.500
O 0.380 0.016 0.663
O 0.380 0.365 0.337
O 0.635 0.016 0.337
O 0.635 0.620 0.663
O 0.984 0.365 0.663
O 0.984 0.620 0.337
```

Summary:
Its total DFT energy (no corrections) is -49.7 eV/cell. The calculation puts the total moment at 0.22 μB per atom. As for the density of states at the Fermi level: 2.4 states/eV/cell. The mass density is 5.10 g cm⁻³. For the formation energy from raw total energies, the calculation gives -0.92 eV/atom.

# 6
ReSnC2: relaxed, GGA-PBE. Values from VASP.

Quantum ESPRESSO input file:
```
&SYSTEM
  ibrav = 0, nat = 8, ntyp = 3
/
ATOMIC_SPECIES
Re 186.21 Re.upf
Sn 118.71 Sn.upf
C 12.01 C.upf
CELL_PARAMETERS angstrom
-2.521 2.521 4.883
2.521 -2.521 4.883
2.521 2.521 -4.883
ATOMIC_POSITIONS crystal
Re 0.000 0.000 0.000
Re 0.750 0.250 0.500
Sn 0.250 0.750 0.500
Sn 0.500 0.500 0.000
C 0.055 0.625 0.930
C 0.375 0.305 0.430
C 0.695 0.125 0.070
C 0.875 0.945 0.570
```

Summary:
Its total DFT energy (no corrections) is -62.4 eV/cell. The calculation puts the total moment at 0.00 μB per atom. As for the density of states at the Fermi level: 5.5 states/eV/cell. The mass density is 8.80 g cm⁻³. The energy of formation is 0.925 eV/atom.

# 7
La3Ru: relaxed, GGA-PBE. Values from VASP.

Quantum ESPRESSO input file:
```
&SYSTEM
  ibrav = 0, nat = 16, ntyp = 2
/
ATOMIC_SPECIES
La 138.91 La.upf
Ru 101.07 Ru.upf
CELL_PARAMETERS angstrom
6.628 0.000 0.000
-3.314 5.740 0.000
0.000 0.000 11.512
ATOMIC_POSITIONS crystal
La 0.000 0.500 0.000
La 0.000 0.500 0.500
La 0.153 0.307 0.250
La 0.153 0.847 0.250
La 0.307 0.153 0.750
La 0.500 0.000 0.000
La 0.500 0.000 0.500
La 0.500 0.500 0.000
La 0.500 0.500 0.500
La 0.693 0.847 0.250
La 0.847 0.153 0.750
La 0.847 0.693 0.750
Ru 0.000 0.000 0.000
Ru 0.000 0.000 0.500
Ru 0.333 0.667 0.750
Ru 0.667 0.333 0.250
```

Summary:
Its total DFT energy (no corrections) is -93.9 eV/cell. The calculation puts the total moment at 0.00 μB per atom. As for the density of states at the Fermi level: 20.5 states/eV/cell. The mass density is 7.85 g cm⁻³. The energy of formation is 0.144 eV/atom.

# 8
NiSnSe2I: relaxed, GGA-PBE. Values from VASP.

Quantum ESPRESSO input file:
```
&SYSTEM
  ibrav = 0, nat = 5, ntyp = 4
/
ATOMIC_SPECIES
Ni 58.69 Ni.upf
Sn 118.71 Sn.upf
Se 78.96 Se.upf
I 126.90 I.upf
CELL_PARAMETERS angstrom
5.276 0.000 0.000
0.000 5.276 0.000
0.000 0.000 5.914
ATOMIC_POSITIONS crystal
Ni 0.000 0.000 0.000
Sn 0.500 0.500 0.000
Se 0.000 0.500 0.500
Se 0.500 0.000 0.500
I 0.500 0.500 0.500
```

Summary:
Its total DFT energy (no corrections) is -11.9 eV/cell. The calculation puts the total moment at 0.15 μB per atom. As for the density of states at the Fermi level: 5.2 states/eV/cell. The mass density is 4.66 g cm⁻³. For the formation energy from raw total energies, the calculation gives 1.29 eV/atom.

# 9
NaPu4Cl10: relaxed, GGA-PBE. Values from VASP.

Quantum ESPRESSO input file:
```
&SYSTEM
  ibrav = 0, nat = 15, ntyp = 3
/
ATOMIC_SPECIES
Na 22.99 Na.upf
Pu 244.00 Pu.upf
Cl 35.45 Cl.upf
CELL_PARAMETERS angstrom
-5.414 5.414 3.424
5.414 -5.414 3.424
5.414 5.414 -3.424
ATOMIC_POSITIONS crystal
Na 0.000 0.000 0.000
Pu 0.203 0.398 0.601
Pu 0.398 0.797 0.194
Pu 0.602 0.203 0.806
Pu 0.797 0.602 0.399
Cl 0.049 0.352 0.897
Cl 0.152 0.049 0.697
Cl 0.250 0.750 0.500
Cl 0.352 0.456 0.303
Cl 0.456 0.152 0.103
Cl 0.544 0.848 0.897
Cl 0.648 0.544 0.697
Cl 0.750 0.250 0.500
Cl 0.848 0.951 0.303
Cl 0.951 0.648 0.103
```

Summary:
Its total DFT energy (no corrections) is -104.8 eV/cell. The calculation puts the total moment at 1.53 μB per atom. As for the density of states at the Fermi level: 35.3 states/eV/cell. The mass density is 5.60 g cm⁻³. For the formation energy from raw total energies, the calculation gives -1.85 eV/atom.

# 10
Sc3TlO: relaxed, GGA-PBE. Values from VASP.

Quantum ESPRESSO input file:
```
&SYSTEM
  ibrav = 0, nat = 5, ntyp = 3
/
ATOMIC_SPECIES
Sc 44.96 Sc.upf
Tl 204.38 Tl.upf
O 16.00 O.upf
CELL_PARAMETERS angstrom
3.392 0.000 0.000
0.000 4.327 0.000
-0.008 0.000 6.289
ATOMIC_POSITIONS crystal
Sc 0.000 0.000 0.000
Sc 0.499 0.500 0.760
Sc 0.501 0.500 0.240
Tl 0.000 0.000 0.500
O 0.000 0.500 0.000
```

Summary:
Its total DFT energy (no corrections) is -33.1 eV/cell. The calculation puts the total moment at 0.00 μB per atom. As for the density of states at the Fermi level: 3.4 states/eV/cell. The mass density is 6.39 g cm⁻³. For the formation energy from raw total energies, the calculation gives -1.35 eV/atom.

# 11
SmTmCu2Ge2: relaxed, GGA-PBE. Values from VASP.

Quantum ESPRESSO input file:
```
&SYSTEM
  ibrav = 0, nat = 6, ntyp = 4
/
ATOMIC_SPECIES
Sm 150.36 Sm.upf
Tm 168.93 Tm.upf
Cu 63.55 Cu.upf
Ge 72.64 Ge.upf
CELL_PARAMETERS angstrom
4.250 0.000 0.000
-2.125 3.680 0.000
0.000 0.000 7.438
ATOMIC_POSITIONS crystal
Sm 0.000 0.000 0.000
Tm 0.000 0.000 0.500
Cu 0.333 0.667 0.729
Cu 0.667 0.333 0.271
Ge 0.333 0.667 0.259
Ge 0.667 0.333 0.741
```

Summary:
Its total DFT energy (no corrections) is -30.7 eV/cell. The calculation puts the total moment at 0.00 μB per atom. As for the density of states at the Fermi level: 1.2 states/eV/cell. The mass density is 8.45 g cm⁻³. The energy of formation is -0.679 eV/atom.